Below is a relaxed structure of Sc4Si6Rh7, with properties calculated at the PBE level.

Output
As for the total energy: -127.32 eV per formula unit. Its total moment is 0.00 μB per formula unit. The energy relative to the elements, uncorrected comes out at -1.06 eV per atom.

abc: 8.043 8.043 8.043
angles: 90.00 90.00 90.00
Space group Im-3m (No. 229)
Inequivalent atoms, fractional coordinates:
Sc 0.250 0.250 0.250
Si 0.000 0.000 0.319
Rh 0.000 0.000 0.000
Rh 0.000 0.250 0.500